A plane-wave DFT calculation with PBE-GGA was carried out for crystalline AlSeBr2 at its relaxed geometry.

It has space group Fm-3m (No. 225), with a = 7.349 Å, b = 7.349 Å, c = 7.349 Å, α = 90.00°, β = 90.00° and γ = 90.00°. The asymmetric unit holds Al at (0.000, 0.000, 0.000), Se at (0.000, 0.000, 0.500) and Br at (0.250, 0.250, 0.250).

For the uncorrected formation energy, the calculation gives 0.38 eV per atom. The calculation puts the offset from the most stable computed form at 996 meV/atom. The value obtained for the total energy is -2.264 eV per atom. The total magnetization comes out at 1.87 μB/f.u. Its density of states at the Fermi level is 14.10 states/eV per cell.